# LiPtSe2S

A relaxed LiPtSe2S crystal (PBE, Alexandria via LeMat-Bulk).

SG	No. 123
E_form (uncorrected)	116	kJ/mol of formula units

Cell and atoms, written as POSCAR:
```
LiPtSe2S
1.0
5.1277 0.0000 0.0000
0.0000 4.3985 0.0000
0.0000 0.0000 5.1277
Li S Se Pt
1 1 2 1
Direct
0.5000 0.5000 0.5000
0.0000 0.0000 0.0000
0.5000 0.0000 0.0000
0.0000 0.0000 0.5000
0.0000 0.5000 0.0000
```